No. 1
This record from Alexandria describes a relaxed CuSb2Pt crystal. The functional is PBE-GGA.

Properties
Raw total energy (eV/atom): -4.4741
Total magnetic moment (μB/atom): 0.0000
Formation energy (no corrections) (eV/atom): 0.121

a = 5.5224 Å, b = 5.5224 Å, c = 5.5224 Å
α = 136.44°, β = 136.44°, γ = 63.30°
With the nearest neighbours (Å) after each atom.
Element x y z (fractional)
Cu (0.0000, 0.0000, 0.0000)  8 Sb 2.90-3.12, 4 Pt 3.12
Sb (0.5000, 0.5000, 0.0000)  4 Cu 2.90, 4 Sb 3.12, 4 Pt 3.12
Sb (0.7500, 0.2500, 0.5000)  4 Pt 2.90, 4 Sb 3.12, 4 Cu 3.12
Pt (0.2500, 0.7500, 0.5000)  8 Sb 2.90-3.12, 4 Cu 3.12

No. 2
This record from Alexandria describes a relaxed Tb2Pm6Al crystal. The functional is PBE-GGA.

Properties
Raw total energy (eV/atom): -4.5387
Total magnetic moment (μB/atom): 0.0000

a = 9.9392 Å, b = 9.9392 Å, c = 3.5710 Å
α = 92.85°, β = 92.85°, γ = 57.08°
With the nearest neighbours (Å) after each atom.
Element x y z (fractional)
Tb (0.1765, 0.1765, 0.4643)  2 Tb 3.57, 10 Pm 3.58-3.71
Tb (0.8235, 0.8235, 0.5357)  2 Tb 3.57, 10 Pm 3.58-3.71
Pm (0.1664, 0.5068, 0.0207)  5 Pm 3.23-3.57, 1 Al 3.28, 1 Tb 3.58
Pm (0.2125, 0.7875, 0.5000)  2 Al 3.26, 4 Pm 3.43-3.57
Pm (0.4932, 0.8336, 0.9793)  5 Pm 3.23-3.57, 1 Al 3.28, 1 Tb 3.58
Pm (0.5068, 0.1664, 0.0207)  5 Pm 3.23-3.57, 1 Al 3.28, 1 Tb 3.58
Pm (0.7875, 0.2125, 0.5000)  2 Al 3.26, 4 Pm 3.43-3.57
Pm (0.8336, 0.4932, 0.9793)  5 Pm 3.23-3.57, 1 Al 3.28, 1 Tb 3.58
Al (0.5000, 0.5000, 0.0000)  8 Pm 3.26-3.28, 2 Al 3.57

No. 3
This record from Alexandria describes a relaxed Ca3VCd crystal. The functional is PBE-GGA.

Properties
Raw total energy (eV/atom): -2.6041
Total magnetic moment (μB/atom): 1.0291
Energy above the lowest structure with this stoichiometry (eV/atom): 0.000

a = 5.7922 Å, b = 5.7922 Å, c = 5.7922 Å
α = 90.00°, β = 90.00°, γ = 90.00°
With the nearest neighbours (Å) after each atom.
Element x y z (fractional)
Ca (0.0000, 0.0000, 0.5000)  2 V 2.90
Ca (0.0000, 0.5000, 0.0000)  2 V 2.90
Ca (0.5000, 0.0000, 0.0000)  2 V 2.90
V (0.0000, 0.0000, 0.0000)  6 Ca 2.90
Cd (0.5000, 0.5000, 0.5000)  12 Ca 4.10

No. 4
This record from Alexandria describes a relaxed ErPdPt crystal. The functional is PBE-GGA.

Properties
Raw total energy (eV/atom): -6.1233
Total magnetic moment (μB/atom): 0.0000
Energy above the lowest structure with this stoichiometry (eV/atom): 0.193

a = 4.4682 Å, b = 4.4682 Å, c = 3.5034 Å
α = 90.00°, β = 90.00°, γ = 120.00°
With the nearest neighbours (Å) after each atom.
Element x y z (fractional)
Er (0.0000, 0.0000, 0.0000)  6 Pd 3.12, 6 Pt 3.12
Pd (0.3333, 0.6667, 0.5000)  3 Pt 2.58
Pt (0.6667, 0.3333, 0.5000)  3 Pd 2.58